Record 1
Density functional theory data (PBE-GGA) for a relaxed structure of LaNdZrSc.

a b c (Å): 5.459 5.459 5.459
angles (deg): 60.00 60.00 60.00
Sites, in units of the cell vectors:
1 Sc 0.000 0.000 0.000
2 Nd 0.250 0.250 0.250
3 Zr 0.500 0.500 0.500
4 La 0.750 0.750 0.750

Values from the calculation:
crystal system: cubic
formation enthalpy at 0 K: 0.1748 eV per atom
total energy: -5.9690 eV/atom
space group: No. 216



Record 2
Density functional theory data (PBE-GGA) for a relaxed structure of La4NdSe7.

a b c (Å): 4.191 7.383 12.597
angles (deg): 104.52 90.00 106.49
Sites, in units of the cell vectors:
1 La 0.699 0.398 0.808
2 La 0.302 0.603 0.190
3 La 0.000 0.000 0.999
4 La 0.112 0.225 0.424
5 Nd 0.887 0.774 0.578
6 Se 0.740 0.479 0.353
7 Se 0.264 0.527 0.649
8 Se 0.340 0.680 0.949
9 Se 0.660 0.320 0.051
10 Se 0.042 0.084 0.782
11 Se 0.958 0.916 0.215
12 Se 0.497 0.995 0.500

Values from the calculation:
crystal system: monoclinic
total energy: -6.0680 eV/atom
space group: No. 8
formation energy from raw total energies: -1.996 eV per atom



Record 3
Density functional theory data (PBE-GGA) for a relaxed structure of LaNd4Se4.

a b c (Å): 5.956 7.297 7.298
angles (deg): 80.39 65.92 65.91
Sites, in units of the cell vectors:
1 La 0.000 0.000 0.000
2 Nd 0.604 0.594 0.198
3 Nd 0.396 0.406 0.802
4 Nd 0.198 0.198 0.406
5 Nd 0.802 0.802 0.594
6 Se 0.901 0.403 0.796
7 Se 0.099 0.597 0.204
8 Se 0.304 0.795 0.597
9 Se 0.696 0.205 0.403

Values from the calculation:
crystal system: tetragonal
total energy: -5.8348 eV/atom
space group: No. 87
formation energy from raw total energies: -1.620 eV per atom